No. 1
# BaInSe2I (PBE-GGA, relaxed)
data_BaInSe2I
_symmetry_space_group_name_H-M 'P 1 21/m 1'
_symmetry_Int_Tables_number 11
_cell_length_a 8.0130
_cell_length_b 5.9274
_cell_length_c 9.1299
_cell_angle_alpha 90.00
_cell_angle_beta 101.52
_cell_angle_gamma 90.00
loop_
_symmetry_equiv_pos_as_xyz
'x,y,z'
'-x,-y,-z'
'-x,y+1/2,-z'
'x,-y+1/2,z'
loop_
_atom_site_label
_atom_site_type_symbol
_atom_site_fract_x
_atom_site_fract_y
_atom_site_fract_z
Ba1 Ba 0.2471 0.2500 0.1359
In1 In 0.0553 0.2500 0.6492
Se1 Se 0.0396 0.7500 0.6361
Se2 Se 0.0930 0.7500 0.1279
I1 I 0.4215 0.2500 0.7875
# calculated total energy = -3.752 eV/atom

---

No. 2
# Ba2InSe2I2 (PBE-GGA, relaxed)
data_Ba2InSe2I2
_symmetry_space_group_name_H-M 'I 4/m m m'
_symmetry_Int_Tables_number 139
_symmetry_space_group_name_Hall '-I 4 2'
_cell_length_a 5.4948
_cell_length_b 5.4948
_cell_length_c 17.9663
_cell_angle_alpha 90.00
_cell_angle_beta 90.00
_cell_angle_gamma 90.00
loop_
_atom_site_label
_atom_site_type_symbol
_atom_site_fract_x
_atom_site_fract_y
_atom_site_fract_z
Ba1 Ba 0.0000 0.0000 0.1152
In1 In 0.0000 0.0000 0.5000
Se1 Se 0.0000 0.5000 0.0000
I1 I 0.0000 0.0000 0.3124
# calculated total energy = -3.802 eV/atom

---

No. 3
# BaInSi2I (PBE-GGA, relaxed)
data_BaInSi2I
_symmetry_space_group_name_H-M 'P 4/m m m'
_symmetry_Int_Tables_number 123
_symmetry_space_group_name_Hall '-P 4 2'
_cell_length_a 5.2051
_cell_length_b 5.2051
_cell_length_c 6.4440
_cell_angle_alpha 90.00
_cell_angle_beta 90.00
_cell_angle_gamma 90.00
loop_
_atom_site_label
_atom_site_type_symbol
_atom_site_fract_x
_atom_site_fract_y
_atom_site_fract_z
Ba1 Ba 0.0000 0.0000 0.0000
In1 In 0.5000 0.5000 0.5000
Si1 Si 0.0000 0.5000 0.5000
I1 I 0.5000 0.5000 0.0000
# calculated total energy = -3.201 eV/atom

---

No. 4
# BaTaInI2 (PBE-GGA, relaxed)
data_BaTaInI2
_symmetry_space_group_name_H-M 'P 4/m m m'
_symmetry_Int_Tables_number 123
_symmetry_space_group_name_Hall '-P 4 2'
_cell_length_a 6.0810
_cell_length_b 6.0810
_cell_length_c 6.6141
_cell_angle_alpha 90.00
_cell_angle_beta 90.00
_cell_angle_gamma 90.00
loop_
_atom_site_label
_atom_site_type_symbol
_atom_site_fract_x
_atom_site_fract_y
_atom_site_fract_z
Ba1 Ba 0.0000 0.0000 0.0000
Ta1 Ta 0.5000 0.5000 0.0000
In1 In 0.0000 0.0000 0.5000
I1 I 0.0000 0.5000 0.5000
# calculated total energy = -2.924 eV/atom

---

> Look up the calculated total energy of the fourth one.

-2.924 eV/atom

---

> Which of these has the highest calculated total energy?

BaTaInI2

---

> What is the calculated total energy in the fourth record?

-2.924 eV/atom

---

> The lowest calculated total energy belongs to which entry?

Ba2InSe2I2